PBE Mn2AgPtN, relaxed; uncorrected formation energy = 0.03 eV/atom; total magnetic moment = 7.3 μB per cell
1.0
3.973 0.000 0.000
0.000 3.973 0.000
0.000 0.000 4.321
Mn Ag Pt N
2 1 1 1
Direct
0.000 0.500 0.000
0.500 0.000 0.000
0.000 0.000 0.500
0.500 0.500 0.500
0.000 0.000 0.000